(1)
A relaxed TlAgCl3 crystal. Source: Alexandria via LeMat-Bulk, functional GGA-PBE.

Results
As for the density of states at the Fermi level: 23.76 states/eV per cell. The electronic total energy is -2.74 eV per atom. Its uncorrected formation energy is -286 kJ/mol of formula units.

Structure (CIF):
```
data_TlAgCl3
_symmetry_space_group_name_H-M 'R -3'
_symmetry_Int_Tables_number 148
_symmetry_space_group_name_Hall '-R 3'
_cell_length_a 6.9851
_cell_length_b 6.9851
_cell_length_c 19.8194
_cell_angle_alpha 90.00
_cell_angle_beta 90.00
_cell_angle_gamma 120.00
loop_
_atom_site_label
_atom_site_type_symbol
_atom_site_fract_x
_atom_site_fract_y
_atom_site_fract_z
Tl1 Tl 0.0000 0.0000 0.1474
Ag1 Ag 0.0000 0.0000 0.3406
Cl1 Cl 0.0121 0.3647 0.9233
```



(2)
A relaxed Tl2Ag5Cl12 crystal. Source: Alexandria via LeMat-Bulk, functional GGA-PBE.

Results
As for the density of states at the Fermi level: 6.44 states/eV per cell. The electronic total energy is -2.68 eV per atom. Its uncorrected formation energy is -941 kJ/mol of formula units.

Structure (CIF):
```
data_Tl2Ag5Cl12
_symmetry_space_group_name_H-M 'C 1 2/m 1'
_symmetry_Int_Tables_number 12
_cell_length_a 14.0806
_cell_length_b 7.7101
_cell_length_c 10.0818
_cell_angle_alpha 90.00
_cell_angle_beta 104.17
_cell_angle_gamma 90.00
loop_
_symmetry_equiv_pos_as_xyz
'x,y,z'
'-x,-y,-z'
'-x,y,-z'
'x,-y,z'
'x+1/2,y+1/2,z'
'-x+1/2,-y+1/2,-z'
'-x+1/2,y+1/2,-z'
'x+1/2,-y+1/2,z'
loop_
_atom_site_label
_atom_site_type_symbol
_atom_site_fract_x
_atom_site_fract_y
_atom_site_fract_z
Tl1 Tl 0.0000 0.2492 0.0000
Ag1 Ag 0.0000 0.5000 0.5000
Ag2 Ag 0.2395 0.0000 0.4978
Ag3 Ag 0.2458 0.0000 0.9893
Cl1 Cl 0.0481 0.0000 0.8402
Cl2 Cl 0.0491 0.5000 0.8419
Cl3 Cl 0.1317 0.2648 0.5200
Cl4 Cl 0.1774 0.2481 0.1409
```